[1]
A geometry-optimized Na2NbHO4 structure. Source: the Alexandria database, functional PBE-GGA.

Raw total energy = -5.974 eV per atom
Size of the total moment = 0.0 μB per formula unit

abc: 3.0468 5.7957 5.4900
angles: 67.20 90.00 90.00
Element x y z (fractional)
Na1 0.0000 0.0000 0.0000
Na2 0.5000 0.0000 0.5000
Nb1 0.0000 0.5000 0.5000
H1 0.5000 0.5000 0.0000
O1 0.0000 0.6675 0.7564
O2 0.0000 0.3325 0.2436
O3 0.5000 0.7306 0.2967
O4 0.5000 0.2694 0.7033

***

[2]
A geometry-optimized NaNbHOs2 structure. Source: the Alexandria database, functional PBE-GGA.

Raw total energy = -6.875 eV per atom
Size of the total moment = 0.0 μB per formula unit

abc: 4.1094 3.8844 4.1094
angles: 90.00 90.00 90.00
Element x y z (fractional)
Na1 0.0000 0.5000 0.0000
Nb1 0.5000 0.5000 0.5000
Os1 0.0000 0.0000 0.5000
Os2 0.5000 0.0000 0.0000
H1 0.0000 0.0000 0.0000

***

[3]
A geometry-optimized NaNb2HPd structure. Source: the Alexandria database, functional PBE-GGA.

Raw total energy = -3.587 eV per atom
Size of the total moment = 0.0 μB per formula unit

abc: 4.7814 4.4494 4.7814
angles: 90.00 90.00 90.00
Element x y z (fractional)
Na1 0.0000 0.0000 0.0000
Nb1 0.0000 0.0000 0.5000
Nb2 0.5000 0.0000 0.0000
Pd1 0.0000 0.5000 0.0000
H1 0.5000 0.5000 0.5000

***

[4]
A geometry-optimized NaNb2SiH structure. Source: the Alexandria database, functional PBE-GGA.

Raw total energy = -3.506 eV per atom
Size of the total moment = 0.0 μB per formula unit

abc: 4.7389 4.5151 4.7389
angles: 90.00 90.00 90.00
Element x y z (fractional)
Na1 0.0000 0.0000 0.0000
Nb1 0.0000 0.0000 0.5000
Nb2 0.5000 0.0000 0.0000
Si1 0.0000 0.5000 0.0000
H1 0.5000 0.5000 0.5000

***

[5]
A geometry-optimized NaNbVH2 structure. Source: the Alexandria database, functional PBE-GGA.

Raw total energy = -4.271 eV per atom
Size of the total moment = 2.6 μB per formula unit

abc: 3.7506 3.7506 5.4598
angles: 90.00 90.00 90.00
Element x y z (fractional)
Na1 0.0000 0.0000 0.5000
Nb1 0.0000 0.0000 0.0000
H1 0.0000 0.5000 0.0000
H2 0.5000 0.0000 0.0000
V1 0.5000 0.5000 0.5000

***

[6]
A geometry-optimized NaNbZnH2 structure. Source: the Alexandria database, functional PBE-GGA.

Raw total energy = -3.472 eV per atom
Size of the total moment = 0.0 μB per formula unit

abc: 3.8247 5.2577 3.8247
angles: 90.00 90.00 90.00
Element x y z (fractional)
Na1 0.5000 0.5000 0.5000
Nb1 0.0000 0.0000 0.0000
Zn1 0.0000 0.5000 0.0000
H1 0.0000 0.0000 0.5000
H2 0.5000 0.0000 0.0000

***

[7]
A geometry-optimized NaNd3H3 structure. Source: the Alexandria database, functional PBE-GGA.

Raw total energy = -3.840 eV per atom
Size of the total moment = 2.5 μB per formula unit

abc: 6.7148 6.7148 6.7148
angles: 90.00 90.00 90.00
Element x y z (fractional)
Na1 0.5000 0.5000 0.5000
Na2 0.0000 0.0000 0.0000
Nd1 0.0000 0.2500 0.5000
Nd2 0.0000 0.7500 0.5000
Nd3 0.5000 0.0000 0.7500
Nd4 0.7500 0.5000 0.0000
Nd5 0.5000 0.0000 0.2500
Nd6 0.2500 0.5000 0.0000
H1 0.2500 0.0000 0.5000
H2 0.0000 0.5000 0.2500
H3 0.5000 0.7500 0.0000
H4 0.7500 0.0000 0.5000
H5 0.0000 0.5000 0.7500
H6 0.5000 0.2500 0.0000

***

[8]
A geometry-optimized NaNdH structure. Source: the Alexandria database, functional PBE-GGA.

Raw total energy = -3.219 eV per atom
Size of the total moment = 0.0 μB per formula unit

abc: 3.5409 3.5409 6.4874
angles: 90.00 90.00 120.00
Element x y z (fractional)
Na1 0.0000 0.0000 0.0711
Nd1 0.3333 0.6667 0.5582
H1 0.6667 0.3333 0.3707